{"formula": "DyMg4Cd", "functional": "PBE-GGA", "state": "relaxed", "vol_a3_per_cell": 147, "e_form_ev_per_atom": 0.025, "lattice_angstrom": [[5.9255, 0.0000, 0.0000], [2.9628, 5.1317, 0.0000], [2.9628, 1.7106, 4.8382]], "species": ["Mg", "Mg", "Mg", "Cd", "Dy", "Mg"], "fractional_positions": [[0.6244, 0.6244, 0.1268], [0.6244, 0.6244, 0.6244], [0.6244, 0.1268, 0.6244], [0.0000, 0.0000, 0.0000], [0.2500, 0.2500, 0.2500], [0.1268, 0.6244, 0.6244]]}